1.
# Bi8Pt5I3

An optimized crystal structure of Bi8Pt5I3 (PBE, OQMD via LeMat-Bulk). Values from VASP.

Computed properties:
* raw total energy: -4.505 eV per atom
* SG: C2/m (12)

Structure (Quantum ESPRESSO input):
```
&SYSTEM
  ibrav = 0, nat = 16, ntyp = 3
/
ATOMIC_SPECIES
Bi 208.98 Bi.upf
I 126.90 I.upf
Pt 195.08 Pt.upf
CELL_PARAMETERS angstrom
-5.5810 -1.2169 -7.5724
-7.4175 -3.4218 -4.8209
-3.1192 11.2431 6.9277
ATOMIC_POSITIONS angstrom
Bi -13.2617 1.7078 -7.4832
I 0.0000 0.0000 0.0000
Bi -9.1507 6.3959 -0.9824
Pt -11.4076 -2.5080 -9.6240
Bi -7.1492 9.4277 2.7831
Bi -11.0688 5.0596 -3.3335
Pt -8.0589 3.3022 -2.7328
Bi -5.0489 1.5448 -2.1321
I -9.9169 0.4982 -6.2199
Pt -2.7469 7.1508 3.8968
Pt -4.7101 9.1124 4.1584
Bi -8.9685 -2.8234 -8.2487
Bi -6.9671 0.2085 -4.4832
I -6.2009 6.1061 0.7543
Bi -2.8560 4.8965 2.0176
Pt -13.3708 -0.5465 -9.3624
```


2.
# TaTc2Bi

An optimized crystal structure of TaTc2Bi (PBE, OQMD via LeMat-Bulk). Values from VASP.

Computed properties:
* raw total energy: -8.526 eV per atom
* SG: F-43m (216)

Structure (Quantum ESPRESSO input):
```
&SYSTEM
  ibrav = 0, nat = 4, ntyp = 3
/
ATOMIC_SPECIES
Bi 208.98 Bi.upf
Ta 180.95 Ta.upf
Tc 98.00 Tc.upf
CELL_PARAMETERS angstrom
3.1808 -3.1841 1.1877
0.4301 -1.3149 4.4444
-1.3463 -4.2596 1.3076
ATOMIC_POSITIONS angstrom
Bi 1.1323 -4.3793 3.4698
Ta 0.5662 -2.1896 1.7349
Tc 1.6985 -6.5689 5.2047
Tc 0.0000 0.0000 0.0000
```


3.
# HoLuAsO

An optimized crystal structure of HoLuAsO (PBE, OQMD via LeMat-Bulk). Values from VASP.

Computed properties:
* excess energy over the best structure of this formula in the dataset: 26.2 kJ/mol of formula units
* raw total energy: -6.587 eV per atom
* SG: P4/nmm (129)

Structure (Quantum ESPRESSO input):
```
&SYSTEM
  ibrav = 0, nat = 8, ntyp = 4
/
ATOMIC_SPECIES
Ho 164.93 Ho.upf
As 74.92 As.upf
O 16.00 O.upf
Lu 174.97 Lu.upf
CELL_PARAMETERS angstrom
4.2907 0.0000 0.0000
0.0000 4.2907 0.0000
0.0000 0.0000 8.6001
ATOMIC_POSITIONS angstrom
Ho 1.0727 1.0727 0.8806
As 1.0727 1.0727 6.0406
O 3.2180 1.0727 0.0000
O 1.0727 3.2180 0.0000
Lu 1.0727 3.2180 4.3000
As 3.2180 3.2180 2.5595
Lu 3.2180 1.0727 4.3000
Ho 3.2180 3.2180 7.7195
```